[1]
First-principles (PBE) data for crystalline PrEuSc at its relaxed geometry, as listed in Alexandria.

Cell lengths 3.6744, 3.6744, 7.8220 Å; angles 103.58, 103.58, 90.00 degrees
Site moments in Bohr magnetons follow the coordinates.
Fractional positions:
Sc1 0.3275 0.3275 0.6549  -0.05
Pr1 0.6802 0.6802 0.3605  -0.07
Eu1 0.9923 0.9923 0.9846  6.96

Calculated values
- Density of states at the Fermi level: 3.795 states/eV/cell
- Energy above the most stable polymorph in this dataset: 0 meV/atom
- ΔH_f (0 K): 0.10 eV per atom
- Mass density: 5.63 g/cm³
- Space group: I4mm (107)


[2]
First-principles (PBE) data for crystalline Pm15SmY4 at its relaxed geometry, as listed in Alexandria.

Cell lengths 5.1443, 5.1443, 25.6422 Å; angles 90.00, 90.00, 90.00 degrees
Fractional positions:
Pm1 0.0000 0.5000 0.3001
Pm2 0.5000 0.0000 0.8996
Pm3 0.5000 0.5000 0.6000
Y1 0.0000 0.0000 0.7997
Pm4 0.5000 0.0000 0.6999
Pm5 0.5000 0.0000 0.5000
Pm6 0.0000 0.5000 0.1004
Y2 0.0000 0.0000 0.2003
Sm1 0.0000 0.0000 0.0000
Pm7 0.5000 0.5000 0.2005
Pm8 0.5000 0.5000 0.0000
Pm9 0.0000 0.5000 0.8996
Pm10 0.0000 0.5000 0.6999
Pm11 0.5000 0.5000 0.7995
Y3 0.0000 0.0000 0.6000
Pm12 0.5000 0.5000 0.4000
Pm13 0.5000 0.0000 0.1004
Y4 0.0000 0.0000 0.4000
Pm14 0.0000 0.5000 0.5000
Pm15 0.5000 0.0000 0.3001

Calculated values
- Density of states at the Fermi level: 28.115 states/eV/cell
- ΔH_f (0 K): 0.01 eV per atom
- Mass density: 6.56 g/cm³
- Space group: P4/mmm (123)


[3]
First-principles (PBE) data for crystalline KSmHfSnO6 at its relaxed geometry, as listed in Alexandria.

Cell lengths 5.7903, 5.7903, 5.7903 Å; angles 60.00, 60.00, 60.00 degrees
Fractional positions:
Hf1 0.0000 0.0000 0.0000
Sn1 0.5000 0.5000 0.5000
O1 0.7498 0.2502 0.7498
O2 0.2502 0.7498 0.2502
Sm1 0.2500 0.2500 0.2500
O3 0.2502 0.2502 0.7498
K1 0.7500 0.7500 0.7500
O4 0.7498 0.2502 0.2502
O5 0.2502 0.7498 0.7498
O6 0.7498 0.7498 0.2502

Calculated values
- Density of states at the Fermi level: 0.000 states/eV/cell
- Energy relative to the elements, uncorrected: -2531 meV per atom
- Mass density: 7.05 g/cm³
- Space group: F-43m (216)


[4]
First-principles (PBE) data for crystalline LaCe2Pb9 at its relaxed geometry, as listed in Alexandria.

Cell lengths 4.9275, 4.9275, 14.7836 Å; angles 90.00, 90.00, 90.00 degrees
Site moments in Bohr magnetons follow the coordinates.
Fractional positions:
Pb1 0.5000 0.5000 0.6655  0.01
Pb2 0.0000 0.5000 0.1698  0.01
La1 0.0000 0.0000 0.0000  0.01
Pb3 0.5000 0.0000 0.1698  0.01
Pb4 0.0000 0.5000 0.8302  0.01
Ce1 0.0000 0.0000 0.3360  0.83
Pb5 0.0000 0.5000 0.5000  0.01
Pb6 0.5000 0.5000 0.3345  0.01
Pb7 0.5000 0.0000 0.8302  0.01
Pb8 0.5000 0.0000 0.5000  0.01
Pb9 0.5000 0.5000 0.0000  0.01
Ce2 0.0000 0.0000 0.6640  0.83

Calculated values
- Density of states at the Fermi level: 14.951 states/eV/cell
- ΔH_f (0 K): -0.38 eV per atom
- Mass density: 10.57 g/cm³
- Space group: P4/mmm (123)


[5]
First-principles (PBE) data for crystalline Sc2SbRu at its relaxed geometry, as listed in Alexandria.

Cell lengths 7.5745, 7.5745, 6.1210 Å; angles 51.78, 51.78, 90.00 degrees
Fractional positions:
Ru1 0.5000 0.5000 0.0000
Sc1 0.3750 0.4289 0.7500
Sb1 0.7500 0.2500 0.5000
Ru2 0.2500 0.7500 0.5000
Sc2 0.8750 0.8211 0.7500
Sc3 0.1789 0.6250 0.2500
Sb2 0.0000 0.0000 0.0000
Sc4 0.5711 0.1250 0.2500

Calculated values
- Density of states at the Fermi level: 8.199 states/eV/cell
- Energy relative to the elements, uncorrected: -276 meV per atom
- Mass density: 6.11 g/cm³
- Space group: I-42d (122)


[6]
First-principles (PBE) data for crystalline La2SeN2 at its relaxed geometry, as listed in Alexandria.

Cell lengths 4.0153, 4.0153, 7.0284 Å; angles 83.34, 83.34, 69.82 degrees
Fractional positions:
N1 0.1607 0.8393 0.5000
Se1 0.0000 0.0000 0.0000
La1 0.6763 0.6763 0.7053
La2 0.3237 0.3237 0.2947
N2 0.8393 0.1607 0.5000

Calculated values
- Density of states at the Fermi level: 1.360 states/eV/cell
- Energy relative to the elements, uncorrected: -1388 meV per atom
- Mass density: 6.07 g/cm³
- Space group: C2/m (12)


[7]
First-principles (PBE) data for crystalline AcCe2Dy at its relaxed geometry, as listed in Alexandria.

Cell lengths 5.8306, 5.8306, 5.8306 Å; angles 60.00, 60.00, 60.00 degrees
Site moments in Bohr magnetons follow the coordinates.
Fractional positions:
Ce1 0.7500 0.7500 0.7500  1.14
Ac1 0.5000 0.5000 0.5000  0.19
Ce2 0.2500 0.2500 0.2500  1.14
Dy1 0.0000 0.0000 0.0000  0.43

Calculated values
- Density of states at the Fermi level: 14.623 states/eV/cell
- Energy above the most stable polymorph in this dataset: 155 meV/atom
- ΔH_f (0 K): 0.30 eV per atom
- Mass density: 7.93 g/cm³
- Space group: Fm-3m (225)


[8]
First-principles (PBE) data for crystalline LaBe at its relaxed geometry, as listed in Alexandria.

Cell lengths 4.0579, 3.5719, 6.7332 Å; angles 74.53, 90.00, 90.00 degrees
Fractional positions:
Be1 0.5000 0.9114 0.8022
Be2 0.0000 0.8386 0.9478
La1 0.5000 0.2276 0.1689
La2 0.0000 0.5224 0.5811

Calculated values
- Density of states at the Fermi level: 3.132 states/eV/cell
- Energy above the most stable polymorph in this dataset: 120 meV/atom
- ΔH_f (0 K): 0.16 eV per atom
- Mass density: 5.22 g/cm³
- Space group: P2_1/m (11)


[9]
First-principles (PBE) data for crystalline SrIn2Ag2Hg at its relaxed geometry, as listed in Alexandria.

Cell lengths 5.2690, 5.2690, 6.2495 Å; angles 90.00, 90.00, 90.00 degrees
Fractional positions:
In1 0.5000 0.5000 0.2559
Sr1 0.0000 0.0000 0.5000
Ag1 0.5000 0.0000 0.0000
Ag2 0.0000 0.5000 0.0000
In2 0.5000 0.5000 0.7441
Hg1 0.0000 0.0000 0.0000

Calculated values
- Density of states at the Fermi level: 3.494 states/eV/cell
- ΔH_f (0 K): -0.02 eV per atom
- Mass density: 7.02 g/cm³
- Space group: P4/mmm (123)


[10]
First-principles (PBE) data for crystalline Sm12GaCo5 at its relaxed geometry, as listed in Alexandria.

Cell lengths 8.4215, 8.4215, 8.4215 Å; angles 107.90, 110.63, 109.89 degrees
Fractional positions:
Sm1 0.8097 0.0161 0.2064
Ga1 0.0000 0.5000 0.5000
Co1 0.6221 0.6221 0.0000
Sm2 0.5177 0.8140 0.7037
Sm3 0.6967 0.3174 0.0141
Sm4 0.3033 0.3174 0.6207
Sm5 0.1103 0.8140 0.2963
Co2 0.3779 0.3779 0.0000
Sm6 0.1903 0.3967 0.2064
Co3 0.5000 0.1131 0.6131
Co4 0.0000 0.0000 0.0000
Co5 0.5000 0.8869 0.3869
Sm7 0.6967 0.6826 0.3793
Sm8 0.3033 0.6826 0.9859
Sm9 0.8097 0.6033 0.7936
Sm10 0.4823 0.1860 0.2963
Sm11 0.8897 0.1860 0.7037
Sm12 0.1903 0.9839 0.7936

Calculated values
- Density of states at the Fermi level: 15.005 states/eV/cell
- ΔH_f (0 K): -0.16 eV per atom
- Mass density: 7.84 g/cm³
- Space group: Immm (71)


[11]
First-principles (PBE) data for crystalline ZrGeOs at its relaxed geometry, as listed in Alexandria.

Cell lengths 4.3820, 3.1544, 7.5189 Å; angles 90.00, 90.00, 90.00 degrees
Fractional positions:
Zr1 0.5000 0.4774 0.1389
Os1 0.5000 0.9490 0.8072
Ge1 0.5000 0.0136 0.4737
Zr2 0.0000 0.5226 0.6389
Ge2 0.0000 0.9864 0.9737
Os2 0.0000 0.0510 0.3072

Calculated values
- Density of states at the Fermi level: 4.197 states/eV/cell
- ΔH_f (0 K): -0.45 eV per atom
- Mass density: 11.31 g/cm³
- Space group: Pmn2_1 (31)


[12]
First-principles (PBE) data for crystalline V2FeIr3 at its relaxed geometry, as listed in Alexandria.

Cell lengths 7.2777, 5.4106, 6.7127 Å; angles 113.77, 122.83, 90.00 degrees
Site moments in Bohr magnetons follow the coordinates.
Fractional positions:
Ir1 0.2204 0.4704 0.4409  0.07
Ir2 0.5000 0.7500 0.0000  0.04
Fe1 0.0000 0.5000 0.0000  2.33
V1 0.5749 0.3595 0.7191  -0.44
V2 0.1442 0.8595 0.7191  -0.44
Ir3 0.7796 0.0296 0.5591  0.07
Fe2 0.0000 0.0000 0.0000  2.33
Ir4 0.2204 0.9704 0.4409  0.07
Ir5 0.7796 0.5296 0.5591  0.07
V3 0.4251 0.6405 0.2809  -0.44
V4 0.8558 0.1405 0.2809  -0.44
Ir6 0.5000 0.2500 0.0000  0.04

Calculated values
- Density of states at the Fermi level: 11.234 states/eV/cell
- Energy above the most stable polymorph in this dataset: 522 meV/atom
- ΔH_f (0 K): 0.09 eV per atom
- Mass density: 12.51 g/cm³
- Space group: Ibam (72)


[13]
First-principles (PBE) data for crystalline ScAl2F8 at its relaxed geometry, as listed in Alexandria.

Cell lengths 5.3219, 4.9921, 4.9921 Å; angles 75.91, 98.52, 98.52 degrees
Site moments in Bohr magnetons follow the coordinates.
Fractional positions:
Al1 0.4466 0.6817 0.6817  0.00
F1 0.6549 0.6695 0.0497  0.00
F2 0.8146 0.2082 0.2082  0.00
F3 0.1854 0.7918 0.7918  0.00
F4 0.7122 0.5655 0.5655  0.00
F5 0.2878 0.4345 0.4345  0.00
F6 0.6549 0.0497 0.6695  0.00
Al2 0.5534 0.3183 0.3183  0.00
F7 0.3451 0.3305 0.9503  0.00
Sc1 0.0000 0.0000 0.0000  0.75
F8 0.3451 0.9503 0.3305  0.00

Calculated values
- Density of states at the Fermi level: 2.385 states/eV/cell
- Energy relative to the elements, uncorrected: -3298 meV per atom
- Mass density: 3.30 g/cm³
- Space group: C2/m (12)


[14]
First-principles (PBE) data for crystalline Hf2NiW at its relaxed geometry, as listed in Alexandria.

Cell lengths 4.0251, 4.0251, 9.7326 Å; angles 78.07, 78.07, 90.00 degrees
Fractional positions:
Hf1 0.1260 0.6250 0.2500
W1 0.0000 0.0000 0.0000
W2 0.7500 0.2500 0.5000
Hf2 0.3750 0.3760 0.7500
Ni1 0.2500 0.7500 0.5000
Hf3 0.8750 0.8740 0.7500
Ni2 0.5000 0.5000 0.0000
Hf4 0.6240 0.1250 0.2500

Calculated values
- Density of states at the Fermi level: 8.593 states/eV/cell
- ΔH_f (0 K): 0.74 eV per atom
- Mass density: 13.20 g/cm³
- Space group: I-42d (122)


[15]
First-principles (PBE) data for crystalline TmTcCl at its relaxed geometry, as listed in Alexandria.

Cell lengths 4.0189, 4.0189, 11.3710 Å; angles 79.82, 79.82, 60.00 degrees
Fractional positions:
Cl1 0.2799 0.2799 0.1604
Cl2 0.7201 0.7201 0.8396
Tc1 0.8391 0.8391 0.4827
Tc2 0.1609 0.1609 0.5173
Tm1 0.5647 0.5647 0.3058
Tm2 0.4353 0.4353 0.6942

Calculated values
- Density of states at the Fermi level: 4.726 states/eV/cell
- Energy above the most stable polymorph in this dataset: 0 meV/atom
- Energy relative to the elements, uncorrected: -1046 meV per atom
- Mass density: 6.45 g/cm³
- Space group: R-3m (166)


[16]
First-principles (PBE) data for crystalline Dy6Tl5Ir at its relaxed geometry, as listed in Alexandria.

Cell lengths 5.2803, 7.6132, 9.0936 Å; angles 114.74, 106.86, 90.00 degrees
Fractional positions:
Ir1 0.0000 0.0000 0.0000
Tl1 0.3372 0.3370 0.6740
Tl2 0.6628 0.6630 0.3260
Tl3 0.6844 0.1847 0.3695
Dy1 0.1519 0.3807 0.3042
Dy2 0.5000 0.7789 0.0000
Dy3 0.8481 0.6193 0.6958
Dy4 0.8481 0.0766 0.6958
Dy5 0.5000 0.2211 0.0000
Tl4 0.3156 0.8153 0.6305
Tl5 0.0000 0.5000 0.0000
Dy6 0.1519 0.9234 0.3042

Calculated values
- Density of states at the Fermi level: 8.705 states/eV/cell
- ΔH_f (0 K): -0.41 eV per atom
- Mass density: 11.55 g/cm³
- Space group: Immm (71)


[17]
First-principles (PBE) data for crystalline Ga2FeSe4 at its relaxed geometry, as listed in Alexandria.

Cell lengths 5.5735, 5.5735, 7.3266 Å; angles 112.36, 112.36, 90.00 degrees
Site moments in Bohr magnetons follow the coordinates.
Fractional positions:
Se1 0.6289 0.1272 0.7561  0.11
Ga1 0.0000 0.5000 0.0000  0.01
Se2 0.3711 0.3711 0.2439  0.11
Ga2 0.5000 0.0000 0.0000  0.01
Fe1 0.0000 0.0000 0.0000  3.07
Se3 0.8728 0.8728 0.2439  0.11
Se4 0.1272 0.6289 0.7561  0.11

Calculated values
- Density of states at the Fermi level: 1.760 states/eV/cell
- Energy relative to the elements, uncorrected: -354 meV per atom
- Mass density: 4.42 g/cm³
- Space group: I-42m (121)


[18]
First-principles (PBE) data for crystalline ErAlZnAu3 at its relaxed geometry, as listed in Alexandria.

Cell lengths 6.1638, 6.6318, 6.8408 Å; angles 118.99, 90.00, 90.00 degrees
Fractional positions:
Zn1 0.7500 0.0672 0.1344
Au1 0.2500 0.1657 0.3314
Al1 0.7500 0.6302 0.2605
Au2 0.7500 0.8343 0.6686
Zn2 0.2500 0.9328 0.8656
Au3 0.0000 0.2856 0.0000
Er1 0.7500 0.3078 0.6156
Er2 0.2500 0.6922 0.3844
Au4 0.0000 0.7144 0.0000
Al2 0.2500 0.3698 0.7395
Au5 0.5000 0.7144 0.0000
Au6 0.5000 0.2856 0.0000

Calculated values
- Density of states at the Fermi level: 5.053 states/eV/cell
- ΔH_f (0 K): -0.37 eV per atom
- Mass density: 11.55 g/cm³
- Space group: Cmcm (63)


[19]
First-principles (PBE) data for crystalline Ac2NdPd at its relaxed geometry, as listed in Alexandria.

Cell lengths 3.8684, 3.8684, 9.1190 Å; angles 90.00, 90.00, 90.00 degrees
Fractional positions:
Nd1 0.5000 0.5000 0.5000
Pd1 0.5000 0.5000 0.0000
Ac1 0.0000 0.0000 0.1999
Ac2 0.0000 0.0000 0.8001

Calculated values
- Density of states at the Fermi level: 6.165 states/eV/cell
- Energy above the most stable polymorph in this dataset: 82 meV/atom
- ΔH_f (0 K): -0.31 eV per atom
- Mass density: 8.57 g/cm³
- Space group: P4/mmm (123)


[20]
First-principles (PBE) data for crystalline Tl2Bi2I at its relaxed geometry, as listed in Alexandria.

Cell lengths 9.6137, 9.6137, 3.8484 Å; angles 90.00, 90.00, 90.00 degrees
Fractional positions:
I1 0.5000 0.5000 0.0000
Bi1 0.8866 0.6134 0.0000
I2 0.0000 0.0000 0.0000
Bi2 0.1134 0.3866 0.0000
Bi3 0.6134 0.1134 0.0000
Tl1 0.1801 0.6801 0.5000
Tl2 0.6801 0.8199 0.5000
Tl3 0.8199 0.3199 0.5000
Tl4 0.3199 0.1801 0.5000
Bi4 0.3866 0.8866 0.0000

Calculated values
- Density of states at the Fermi level: 4.433 states/eV/cell
- Energy above the most stable polymorph in this dataset: 185 meV/atom
- Energy relative to the elements, uncorrected: 4 meV per atom
- Mass density: 8.90 g/cm³
- Space group: P4/mbm (127)